This record from Alexandria via LeMat-Bulk describes a relaxed Ca3GaH2 crystal. The functional is PBE.

a = 7.287 Å, b = 7.287 Å, c = 5.069 Å
α = 90.00°, β = 90.00°, γ = 104.67°
Element x y z (fractional)
Ca 0.108 0.892 0.750
Ca 0.182 0.412 0.750
Ca 0.412 0.182 0.250
Ca 0.588 0.818 0.750
Ca 0.818 0.588 0.250
Ca 0.892 0.108 0.250
Ga 0.301 0.699 0.250
Ga 0.699 0.301 0.750
H 0.154 0.154 0.000
H 0.154 0.154 0.500
H 0.846 0.846 0.000
H 0.846 0.846 0.500

Calculated values
- Magnetization: 0.000 μB/cell
- Crystal system: orthorhombic
- E_tot: -3.052 eV/atom

This record from Alexandria via LeMat-Bulk describes a relaxed CaGa2H8 crystal. The functional is PBE.

a = 5.157 Å, b = 5.157 Å, c = 5.968 Å
α = 109.33°, β = 109.33°, γ = 54.98°
Element x y z (fractional)
Ca 0.000 0.000 0.000
Ga 0.206 0.206 0.694
Ga 0.794 0.794 0.306
H 0.129 0.602 0.215
H 0.157 0.157 0.409
H 0.395 0.395 0.825
H 0.398 0.871 0.785
H 0.602 0.129 0.215
H 0.605 0.605 0.175
H 0.843 0.843 0.591
H 0.871 0.398 0.785

Calculated values
- Magnetization: 0.000 μB/cell
- Crystal system: monoclinic
- E_tot: -3.267 eV/atom

This record from Alexandria via LeMat-Bulk describes a relaxed CaGaH4 crystal. The functional is PBE.

a = 5.507 Å, b = 3.954 Å, c = 6.248 Å
α = 90.00°, β = 99.54°, γ = 90.00°
Element x y z (fractional)
Ca 0.223 0.000 0.349
Ca 0.777 0.500 0.651
Ga 0.317 0.237 0.820
Ga 0.683 0.737 0.180
H 0.060 0.036 0.656
H 0.132 0.494 0.925
H 0.354 0.477 0.543
H 0.403 0.976 0.045
H 0.597 0.476 0.955
H 0.646 0.977 0.457
H 0.868 0.994 0.075
H 0.940 0.536 0.344

Calculated values
- Magnetization: 0.000 μB/cell
- Crystal system: monoclinic
- E_tot: -3.198 eV/atom

This record from Alexandria via LeMat-Bulk describes a relaxed Ca3Ga5H12 crystal. The functional is PBE.

a = 10.936 Å, b = 10.936 Å, c = 10.936 Å
α = 109.47°, β = 109.47°, γ = 109.47°
Element x y z (fractional)
Ca 0.125 0.250 0.375
Ca 0.125 0.375 0.750
Ca 0.250 0.375 0.125
Ca 0.250 0.875 0.625
Ca 0.375 0.125 0.250
Ca 0.375 0.750 0.125
Ca 0.625 0.250 0.875
Ca 0.625 0.875 0.750
Ca 0.750 0.125 0.375
Ca 0.750 0.625 0.875
Ca 0.875 0.625 0.250
Ca 0.875 0.750 0.625
Ga 0.000 0.000 0.000
Ga 0.000 0.000 0.500
Ga 0.000 0.500 0.000
Ga 0.000 0.500 0.500
Ga 0.125 0.750 0.875
Ga 0.125 0.875 0.250
Ga 0.250 0.125 0.875
Ga 0.250 0.625 0.375
Ga 0.375 0.250 0.625
Ga 0.375 0.625 0.750
Ga 0.500 0.000 0.000
Ga 0.500 0.000 0.500
Ga 0.500 0.500 0.000
Ga 0.500 0.500 0.500
Ga 0.625 0.375 0.250
Ga 0.625 0.750 0.375
Ga 0.750 0.375 0.625
Ga 0.750 0.875 0.125
Ga 0.875 0.125 0.750
Ga 0.875 0.250 0.125
H 0.032 0.251 0.140
H 0.032 0.280 0.892
H 0.108 0.640 0.388
H 0.108 0.968 0.720
H 0.112 0.751 0.720
H 0.112 0.860 0.392
H 0.140 0.032 0.251
H 0.140 0.608 0.888
H 0.220 0.251 0.612
H 0.220 0.468 0.608
H 0.249 0.280 0.888
H 0.249 0.468 0.360
H 0.251 0.140 0.032
H 0.251 0.612 0.220
H 0.280 0.888 0.249
H 0.280 0.892 0.032
H 0.360 0.249 0.468
H 0.360 0.612 0.892
H 0.388 0.108 0.640
H 0.388 0.780 0.749
H 0.392 0.112 0.860
H 0.392 0.780 0.532
H 0.468 0.360 0.249
H 0.468 0.608 0.220
H 0.532 0.392 0.780
H 0.532 0.640 0.751
H 0.608 0.220 0.468
H 0.608 0.888 0.140
H 0.612 0.220 0.251
H 0.612 0.892 0.360
H 0.640 0.388 0.108
H 0.640 0.751 0.532
H 0.720 0.108 0.968
H 0.720 0.112 0.751
H 0.749 0.388 0.780
H 0.749 0.860 0.968
H 0.751 0.532 0.640
H 0.751 0.720 0.112
H 0.780 0.532 0.392
H 0.780 0.749 0.388
H 0.860 0.392 0.112
H 0.860 0.968 0.749
H 0.888 0.140 0.608
H 0.888 0.249 0.280
H 0.892 0.032 0.280
H 0.892 0.360 0.612
H 0.968 0.720 0.108
H 0.968 0.749 0.860

Calculated values
- Magnetization: 0.000 μB/cell
- Crystal system: cubic
- E_tot: -3.062 eV/atom

This record from Alexandria via LeMat-Bulk describes a relaxed Ca5Ga3H crystal. The functional is PBE.

a = 9.255 Å, b = 9.255 Å, c = 9.255 Å
α = 129.24°, β = 129.24°, γ = 74.63°
Element x y z (fractional)
Ca 0.000 0.000 0.000
Ca 0.010 0.510 0.825
Ca 0.185 0.010 0.500
Ca 0.315 0.815 0.825
Ca 0.490 0.315 0.500
Ca 0.500 0.500 0.000
Ca 0.510 0.685 0.500
Ca 0.685 0.185 0.175
Ca 0.815 0.990 0.500
Ca 0.990 0.490 0.175
Ga 0.115 0.385 0.500
Ga 0.250 0.250 0.000
Ga 0.385 0.885 0.270
Ga 0.615 0.115 0.730
Ga 0.750 0.750 0.000
Ga 0.885 0.615 0.500
H 0.250 0.750 0.500
H 0.750 0.250 0.500

Calculated values
- Magnetization: 0.000 μB/cell
- Crystal system: tetragonal
- E_tot: -2.901 eV/atom

This record from Alexandria via LeMat-Bulk describes a relaxed CaGa3H12 crystal. The functional is PBE.

a = 8.178 Å, b = 8.178 Å, c = 8.178 Å
α = 61.37°, β = 61.37°, γ = 61.37°
Element x y z (fractional)
Ca 0.000 0.000 0.000
Ca 0.500 0.500 0.500
Ga 0.120 0.825 0.420
Ga 0.325 0.620 0.920
Ga 0.420 0.120 0.825
Ga 0.620 0.920 0.325
Ga 0.825 0.420 0.120
Ga 0.920 0.325 0.620
H 0.027 0.470 0.443
H 0.040 0.094 0.674
H 0.094 0.674 0.040
H 0.174 0.594 0.540
H 0.180 0.846 0.196
H 0.196 0.180 0.846
H 0.329 0.861 0.379
H 0.346 0.680 0.696
H 0.361 0.829 0.879
H 0.379 0.329 0.861
H 0.443 0.027 0.470
H 0.470 0.443 0.027
H 0.527 0.943 0.970
H 0.540 0.174 0.594
H 0.594 0.540 0.174
H 0.674 0.040 0.094
H 0.680 0.696 0.346
H 0.696 0.346 0.680
H 0.829 0.879 0.361
H 0.846 0.196 0.180
H 0.861 0.379 0.329
H 0.879 0.361 0.829
H 0.943 0.970 0.527
H 0.970 0.527 0.943

Calculated values
- Magnetization: 0.000 μB/cell
- Crystal system: trigonal
- E_tot: -3.094 eV/atom

This record from Alexandria via LeMat-Bulk describes a relaxed CaGaH2 crystal. The functional is PBE.

a = 4.497 Å, b = 4.497 Å, c = 11.308 Å
α = 90.00°, β = 90.00°, γ = 90.00°
Element x y z (fractional)
Ca 0.000 0.000 0.000
Ca 0.000 0.500 0.250
Ca 0.500 0.000 0.750
Ca 0.500 0.500 0.500
Ga 0.000 0.000 0.500
Ga 0.000 0.500 0.750
Ga 0.500 0.000 0.250
Ga 0.500 0.500 0.000
H 0.195 0.250 0.625
H 0.250 0.695 0.875
H 0.250 0.805 0.375
H 0.305 0.250 0.125
H 0.695 0.750 0.125
H 0.750 0.195 0.375
H 0.750 0.305 0.875
H 0.805 0.750 0.625

Calculated values
- Magnetization: 0.000 μB/cell
- Crystal system: tetragonal
- Offset from the most stable computed form: 0.0 meV per atom

This record from Alexandria via LeMat-Bulk describes a relaxed Ca2GaH2 crystal. The functional is PBE.

a = 7.790 Å, b = 7.790 Å, c = 3.039 Å
α = 90.00°, β = 90.00°, γ = 90.00°
Element x y z (fractional)
Ca 0.140 0.360 0.000
Ca 0.360 0.860 0.000
Ca 0.640 0.140 0.000
Ca 0.860 0.640 0.000
Ga 0.000 0.000 0.000
Ga 0.500 0.500 0.000
H 0.097 0.597 0.500
H 0.403 0.097 0.500
H 0.597 0.903 0.500
H 0.903 0.403 0.500

Calculated values
- Magnetization: 0.000 μB/cell
- Crystal system: tetragonal
- Offset from the most stable computed form: 439.4 meV per atom

This record from Alexandria via LeMat-Bulk describes a relaxed Ca2GaH crystal. The functional is PBE.

a = 3.347 Å, b = 3.347 Å, c = 7.568 Å
α = 90.00°, β = 90.00°, γ = 90.00°
Element x y z (fractional)
Ca 0.000 0.000 0.234
Ca 0.000 0.000 0.766
Ga 0.500 0.500 0.500
H 0.500 0.500 0.000

Calculated values
- Magnetization: 0.000 μB/cell
- Crystal system: tetragonal
- Offset from the most stable computed form: 152.1 meV per atom

This record from Alexandria via LeMat-Bulk describes a relaxed Ca2GaH2 crystal. The functional is PBE.

a = 3.706 Å, b = 3.706 Å, c = 13.245 Å
α = 90.00°, β = 90.00°, γ = 90.00°
Element x y z (fractional)
Ca 0.000 0.000 0.152
Ca 0.000 0.000 0.848
Ca 0.500 0.500 0.348
Ca 0.500 0.500 0.652
Ga 0.000 0.000 0.500
Ga 0.500 0.500 0.000
H 0.000 0.500 0.250
H 0.000 0.500 0.750
H 0.500 0.000 0.250
H 0.500 0.000 0.750

Calculated values
- Magnetization: 1.468 μB/cell
- Crystal system: tetragonal
- Offset from the most stable computed form: 0.0 meV per atom